## NdDyGa2Pt2 (PBE)

Data for a relaxed NdDyGa2Pt2 crystal.

E_tot (eV per atom): -5.630

a = 4.484 Å, b = 4.484 Å, c = 7.182 Å
α = 90.00°, β = 90.00°, γ = 120.00°
Element x y z (fractional)
Nd1 0.000 0.000 0.000
Dy1 0.000 0.000 0.500
Ga1 0.667 0.333 0.270
Ga2 0.333 0.667 0.730
Pt1 0.667 0.333 0.729
Pt2 0.333 0.667 0.271